Entry 1:
The following is a DFT calculation (PBE) of Ca2SiPt after structural relaxation. Values from VASP.

The structure in Quantum ESPRESSO input format:
```
&SYSTEM
  ibrav = 0, nat = 4, ntyp = 3
/
ATOMIC_SPECIES
Ca 40.08 Ca.upf
Pt 195.08 Pt.upf
Si 28.09 Si.upf
ATOMIC_POSITIONS angstrom
Ca -2.1003 -0.9680 1.8202
Ca 0.0000 0.0000 0.0000
Pt -2.7364 1.7737 0.9600
Si -0.1451 1.7589 2.3551
CELL_PARAMETERS angstrom
-0.7812 4.5006 1.4949
-4.6916 -0.9532 0.4252
3.2274 -2.7564 2.2553
```

***

Entry 2:
! PBE CaSiPt3, optimized geometry; values from VASP
&SYSTEM
  ibrav = 0, nat = 10, ntyp = 3
/
ATOMIC_SPECIES
Pt 195.08 Pt.upf
Si 28.09 Si.upf
Ca 40.08 Ca.upf
ATOMIC_POSITIONS angstrom
Pt 1.3930 5.9630 0.1249
Pt 0.0000 4.8946 2.2203
Pt 4.1789 5.9630 0.1249
Pt -1.3930 -1.9877 4.3156
Pt 2.7859 -0.9193 2.2203
Pt 1.3930 -1.9877 4.3156
Si 0.0000 3.9753 0.0000
Si 2.7859 0.0000 0.0000
Ca 0.0000 0.3290 2.2203
Ca 2.7859 3.6463 2.2203
CELL_PARAMETERS angstrom
5.5719 0.0000 0.0000
0.0000 7.9506 0.0000
-2.7859 -3.9753 4.4405
! E above lowest polymorph	34.6	meV per atom

***

Entry 3:
The following is a DFT calculation (PBE) of Ca2Si2Pt after structural relaxation. Values from VASP.

The structure in Quantum ESPRESSO input format:
```
&SYSTEM
  ibrav = 0, nat = 10, ntyp = 3
/
ATOMIC_SPECIES
Ca 40.08 Ca.upf
Si 28.09 Si.upf
Pt 195.08 Pt.upf
ATOMIC_POSITIONS angstrom
Ca 4.4006 5.4077 2.3398
Ca 5.4077 2.1383 2.3398
Ca 1.1312 4.4006 2.3398
Ca 2.1383 1.1312 2.3398
Si 5.6645 4.1438 0.0000
Si 2.3950 5.6645 0.0000
Si 4.1438 0.8744 0.0000
Si 0.8744 2.3950 0.0000
Pt 0.0000 0.0000 0.0000
Pt 3.2694 3.2694 0.0000
CELL_PARAMETERS angstrom
6.5389 0.0000 0.0000
0.0000 6.5389 0.0000
0.0000 0.0000 4.6796
```

***

Entry 4:
The following is a DFT calculation (PBE) of Ca4SiPt after structural relaxation. Values from VASP.

The structure in Quantum ESPRESSO input format:
```
&SYSTEM
  ibrav = 0, nat = 6, ntyp = 3
/
ATOMIC_SPECIES
Si 28.09 Si.upf
Ca 40.08 Ca.upf
Pt 195.08 Pt.upf
ATOMIC_POSITIONS angstrom
Si 0.0000 0.0000 0.0000
Ca -1.6922 6.6165 4.5596
Ca -4.3190 5.1393 4.7293
Ca -2.0624 4.4256 6.6025
Ca -1.8647 3.7373 3.6703
Pt -3.7269 7.4695 7.3357
CELL_PARAMETERS angstrom
-0.3962 1.3794 5.8764
0.3456 5.7702 1.7823
-4.9186 2.8098 2.1222
```

***

Entry 5:
The following is a DFT calculation (PBE) of Ca2SiPt after structural relaxation. Values from VASP.

The structure in Quantum ESPRESSO input format:
```
&SYSTEM
  ibrav = 0, nat = 8, ntyp = 3
/
ATOMIC_SPECIES
Pt 195.08 Pt.upf
Si 28.09 Si.upf
Ca 40.08 Ca.upf
ATOMIC_POSITIONS angstrom
Pt 7.8941 3.9471 1.5368
Pt 0.0000 0.0000 0.0000
Si 3.9471 3.9471 0.0000
Si 3.9471 7.8941 1.5368
Ca 6.0835 1.9735 0.7684
Ca 9.8676 10.0306 2.3053
Ca 1.8106 5.9206 0.7684
Ca 5.9206 5.7577 2.3053
CELL_PARAMETERS angstrom
7.8941 0.0000 0.0000
0.0000 7.8941 0.0000
3.9471 3.9471 3.0737
```

***

Entry 6:
The following is a DFT calculation (PBE) of CaSi12Pt4 after structural relaxation. Values from VASP.

The structure in Quantum ESPRESSO input format:
```
&SYSTEM
  ibrav = 0, nat = 17, ntyp = 3
/
ATOMIC_SPECIES
Si 28.09 Si.upf
Pt 195.08 Pt.upf
Ca 40.08 Ca.upf
ATOMIC_POSITIONS angstrom
Si -0.0236 3.6469 3.8146
Si 4.8259 1.7313 1.2510
Si 2.4484 -0.2178 2.1248
Si 1.0214 2.9580 0.8738
Si -1.4033 4.6225 2.1248
Si 3.4462 2.7068 2.9408
Si -1.0215 0.7223 2.9986
Si 1.4033 0.4711 5.0656
Si 3.8281 -1.1934 3.8146
Si -2.4012 1.6979 4.6884
Si 2.4011 4.9092 0.8738
Si 0.0236 -1.4801 5.0656
Pt -1.2124 -1.7146 2.9697
Pt 1.2124 1.7146 2.9697
Pt -1.2124 3.4291 0.0000
Pt 3.6371 0.0000 0.0000
Ca 0.0000 0.0000 0.0000
CELL_PARAMETERS angstrom
7.2743 0.0000 0.0000
-2.4248 6.8582 0.0000
-2.4248 -3.4291 5.9394
```

***

Entry 7:
! PBE CaSiPt3, optimized geometry; values from VASP
&SYSTEM
  ibrav = 0, nat = 10, ntyp = 3
/
ATOMIC_SPECIES
Si 28.09 Si.upf
Ca 40.08 Ca.upf
Pt 195.08 Pt.upf
ATOMIC_POSITIONS angstrom
Si 0.0000 0.0000 0.0000
Si -1.6426 -0.5691 2.1038
Ca 1.2680 2.6859 3.4867
Ca 0.0223 -1.9040 4.8127
Pt 2.6024 -2.2986 3.1802
Pt 0.7807 -0.2956 2.2997
Pt 2.8034 0.2837 4.0356
Pt -1.5131 0.4981 4.2637
Pt -1.3121 3.0804 5.1192
Pt 0.5096 1.0774 5.9997
CELL_PARAMETERS angstrom
-3.2851 -1.1382 4.2076
3.6372 -3.9991 1.7580
0.9383 5.9192 2.3338
! E above lowest polymorph	0.0	meV per atom

***

Entry 8:
The following is a DFT calculation (PBE) of Ca3SiPt2 after structural relaxation. Values from VASP.

The structure in Quantum ESPRESSO input format:
```
&SYSTEM
  ibrav = 0, nat = 6, ntyp = 3
/
ATOMIC_SPECIES
Pt 195.08 Pt.upf
Si 28.09 Si.upf
Ca 40.08 Ca.upf
ATOMIC_POSITIONS angstrom
Pt 3.8804 -1.1590 4.8128
Pt -0.1584 0.9097 2.4276
Si 0.0000 0.0000 0.0000
Ca 2.0166 1.4463 4.5445
Ca 1.7055 -1.6955 2.6959
Ca -1.6084 -1.5605 2.0515
CELL_PARAMETERS angstrom
-2.7357 1.2248 2.5008
-0.4811 -4.3459 1.6022
6.9388 2.8718 3.1373
```

***

Entry 9:
The following is a DFT calculation (PBE) of Ca2SiPt2 after structural relaxation. Values from VASP.

The structure in Quantum ESPRESSO input format:
```
&SYSTEM
  ibrav = 0, nat = 5, ntyp = 3
/
ATOMIC_SPECIES
Si 28.09 Si.upf
Ca 40.08 Ca.upf
Pt 195.08 Pt.upf
ATOMIC_POSITIONS angstrom
Si 0.0000 0.0000 0.0000
Ca -4.9507 2.4133 6.4524
Ca -2.4864 1.0088 1.7832
Pt -4.0972 0.4727 4.2905
Pt -3.3400 2.9495 3.9451
CELL_PARAMETERS angstrom
-1.7435 3.2296 -0.4295
-3.2579 -1.7240 0.2613
-2.4358 1.9165 8.4038
```

***

Entry 10:
The following is a DFT calculation (PBE) of Ca2SiPt after structural relaxation. Values from VASP.

The structure in Quantum ESPRESSO input format:
```
&SYSTEM
  ibrav = 0, nat = 4, ntyp = 3
/
ATOMIC_SPECIES
Pt 195.08 Pt.upf
Ca 40.08 Ca.upf
Si 28.09 Si.upf
ATOMIC_POSITIONS angstrom
Pt -1.6106 -0.0174 4.5015
Ca -0.9667 -2.4142 2.4803
Ca -2.6172 -0.0282 7.3151
Si -1.9821 -2.4252 5.3184
CELL_PARAMETERS angstrom
-2.3314 -2.3299 -0.8431
2.1967 -2.4792 0.7764
-2.8167 -0.0304 7.8728
```

***

Entry 11:
The following is a DFT calculation (PBE) of Ca2SiPt2 after structural relaxation. Values from VASP.

The structure in Quantum ESPRESSO input format:
```
&SYSTEM
  ibrav = 0, nat = 10, ntyp = 3
/
ATOMIC_SPECIES
Ca 40.08 Ca.upf
Pt 195.08 Pt.upf
Si 28.09 Si.upf
ATOMIC_POSITIONS angstrom
Ca -0.5407 0.7707 5.5142
Ca -0.8561 -5.5752 5.2084
Ca -1.0398 -2.5375 8.5205
Ca -0.3570 -2.2670 2.2020
Pt 0.7099 -0.2860 7.8469
Pt 0.4776 -4.8066 7.7015
Pt 0.9601 -4.6866 3.1999
Pt 1.1924 -0.1659 3.3453
Si -0.6984 -2.4022 5.3613
Si 0.0000 0.0000 0.0000
CELL_PARAMETERS angstrom
-0.6589 2.9948 7.7847
-0.7380 -7.7992 2.9379
3.0669 -0.1680 0.3242
```

***

Entry 12:
The following is a DFT calculation (PBE) of CaSi3Pt5 after structural relaxation. Values from VASP.

The structure in Quantum ESPRESSO input format:
```
&SYSTEM
  ibrav = 0, nat = 18, ntyp = 3
/
ATOMIC_SPECIES
Ca 40.08 Ca.upf
Pt 195.08 Pt.upf
Si 28.09 Si.upf
ATOMIC_POSITIONS angstrom
Ca 0.0000 1.9109 3.1857
Ca 1.9701 4.3655 9.5571
Pt 0.0000 0.0000 0.0000
Pt 0.0000 0.0000 6.3714
Pt 0.0000 2.6096 11.7381
Pt 1.9701 3.6668 1.0047
Pt 1.9701 0.6350 10.8968
Pt 0.0000 5.6413 4.5255
Pt 0.0000 2.6096 7.3761
Pt 1.9701 0.6350 8.2173
Pt 0.0000 5.6413 1.8459
Pt 1.9701 3.6668 5.3667
Si 1.9701 1.4342 5.8548
Si 0.0000 4.8421 12.2262
Si 0.0000 1.4421 9.5571
Si 0.0000 4.8421 6.8879
Si 1.9701 1.4342 0.5165
Si 1.9701 4.8342 3.1857
CELL_PARAMETERS angstrom
3.9403 0.0000 0.0000
-1.9701 6.2764 0.0000
0.0000 0.0000 12.7428
```

***

Entry 13:
The following is a DFT calculation (PBE) of Ca2SiPt after structural relaxation. Values from VASP.

The structure in Quantum ESPRESSO input format:
```
&SYSTEM
  ibrav = 0, nat = 4, ntyp = 3
/
ATOMIC_SPECIES
Ca 40.08 Ca.upf
Si 28.09 Si.upf
Pt 195.08 Pt.upf
ATOMIC_POSITIONS angstrom
Ca -0.0787 -0.0061 -0.1629
Ca -0.5370 2.2780 -2.4796
Si -2.9759 0.3284 -2.1732
Pt -2.0948 -0.1617 -4.3374
CELL_PARAMETERS angstrom
-0.2400 1.7428 -5.8533
-4.3792 -2.0993 -3.7109
1.2424 2.9734 5.1933
```

***

Entry 14:
The following is a DFT calculation (PBE) of CaSiPt2 after structural relaxation. Values from VASP.

The structure in Quantum ESPRESSO input format:
```
&SYSTEM
  ibrav = 0, nat = 4, ntyp = 3
/
ATOMIC_SPECIES
Ca 40.08 Ca.upf
Pt 195.08 Pt.upf
Si 28.09 Si.upf
ATOMIC_POSITIONS angstrom
Ca -0.9847 -2.6473 -0.3187
Pt 0.0000 0.0000 0.0000
Pt -0.5822 -4.1936 2.0321
Si 1.2907 -1.6443 -1.9149
CELL_PARAMETERS angstrom
-2.8576 -5.1966 3.6283
0.8881 -0.0980 -4.2657
1.6932 -3.1906 0.4360
```

***

Entry 15:
The following is a DFT calculation (PBE) of Ca3Si3Pt after structural relaxation. Values from VASP.

The structure in Quantum ESPRESSO input format:
```
&SYSTEM
  ibrav = 0, nat = 14, ntyp = 3
/
ATOMIC_SPECIES
Ca 40.08 Ca.upf
Si 28.09 Si.upf
Pt 195.08 Pt.upf
ATOMIC_POSITIONS angstrom
Ca 4.1635 3.7870 1.7614
Ca 3.5792 3.6055 5.6400
Ca 4.9825 3.8414 11.0252
Ca 2.5305 1.4485 12.6024
Ca 3.1147 1.6299 8.7238
Ca 1.7115 1.3941 3.3386
Si 1.2590 1.3726 6.3429
Si 4.1798 0.6765 1.6533
Si 5.4350 3.8628 8.0210
Si 2.5142 4.5589 12.7105
Si 0.6674 0.6784 10.2696
Si 6.0265 4.5571 4.0942
Pt 3.1358 4.6878 8.5840
Pt 3.5582 0.5476 5.7798
CELL_PARAMETERS angstrom
4.3306 0.0000 0.6523
2.1434 5.3021 0.4713
0.2200 -0.0667 13.2403
```

***

Entry 16:
The following is a DFT calculation (PBE) of Ca2Si2Pt5 after structural relaxation. Values from VASP.

The structure in Quantum ESPRESSO input format:
```
&SYSTEM
  ibrav = 0, nat = 9, ntyp = 3
/
ATOMIC_SPECIES
Pt 195.08 Pt.upf
Si 28.09 Si.upf
Ca 40.08 Ca.upf
ATOMIC_POSITIONS angstrom
Pt 1.8717 2.0954 1.4795
Pt 6.0258 2.7597 2.2043
Pt 2.2087 -0.7487 2.1550
Pt 3.8232 1.3056 3.5897
Pt 6.3628 -0.0843 2.8798
Si 0.5974 0.7897 3.0268
Si 7.0490 1.8215 4.1525
Ca 4.4112 0.7055 0.7696
Ca 0.0000 0.0000 0.0000
CELL_PARAMETERS angstrom
-0.9250 3.4441 2.1445
-0.2510 -2.2439 3.4955
8.8224 1.4110 1.5393
```

***

Entry 17:
The following is a DFT calculation (PBE) of Ca3Si5Pt6 after structural relaxation. Values from VASP.

The structure in Quantum ESPRESSO input format:
```
&SYSTEM
  ibrav = 0, nat = 28, ntyp = 3
/
ATOMIC_SPECIES
Si 28.09 Si.upf
Pt 195.08 Pt.upf
Ca 40.08 Ca.upf
ATOMIC_POSITIONS angstrom
Si 0.0000 5.2505 10.9440
Si 0.0000 8.5507 4.0009
Si 0.0000 9.0068 0.0000
Si 2.0238 1.1041 6.1886
Si 0.0000 5.2505 1.4332
Si 0.0000 8.5507 8.3763
Si 2.0238 1.5601 10.1895
Si 2.0238 4.8604 7.6218
Si 2.0238 1.5601 2.1877
Si 2.0238 4.8604 4.7554
Pt 2.0238 9.9230 8.2912
Pt 2.0238 0.2537 0.0000
Pt 0.0000 5.0075 6.1886
Pt 2.0238 3.9425 9.8345
Pt 0.0000 0.1879 10.2746
Pt 2.0238 9.9230 4.0860
Pt 0.0000 6.1684 3.6459
Pt 0.0000 9.8572 6.1886
Pt 0.0000 6.1684 8.7313
Pt 2.0238 5.1033 0.0000
Pt 2.0238 3.9425 2.5427
Pt 0.0000 0.1879 2.1026
Ca 0.0000 2.5346 8.0520
Ca 2.0238 7.5763 10.5138
Ca 2.0238 7.4739 6.1886
Ca 2.0238 7.5763 1.8634
Ca 0.0000 2.6370 0.0000
Ca 0.0000 2.5346 4.3252
CELL_PARAMETERS angstrom
4.0476 0.0000 0.0000
0.0000 10.1109 0.0000
0.0000 0.0000 12.3772
```

***

Entry 18:
The following is a DFT calculation (PBE) of Ca2SiPt after structural relaxation. Values from VASP.

The structure in Quantum ESPRESSO input format:
```
&SYSTEM
  ibrav = 0, nat = 4, ntyp = 3
/
ATOMIC_SPECIES
Ca 40.08 Ca.upf
Pt 195.08 Pt.upf
Si 28.09 Si.upf
ATOMIC_POSITIONS angstrom
Ca 4.4942 0.5671 1.4761
Ca 0.0000 0.0000 0.0000
Pt -0.6345 2.6199 1.4587
Si 2.2471 2.0782 0.0486
CELL_PARAMETERS angstrom
7.3758 0.0253 0.0660
-2.8816 4.1310 0.0312
1.6126 1.1088 2.8862
```

***

Entry 19:
The following is a DFT calculation (PBE) of CaSi4Pt after structural relaxation. Values from VASP.

The structure in Quantum ESPRESSO input format:
```
&SYSTEM
  ibrav = 0, nat = 6, ntyp = 3
/
ATOMIC_SPECIES
Si 28.09 Si.upf
Pt 195.08 Pt.upf
Ca 40.08 Ca.upf
ATOMIC_POSITIONS angstrom
Si 2.7574 4.6159 4.6159
Si 4.6159 2.7574 4.6159
Si 4.6159 4.6159 2.7574
Si 2.7574 2.7574 2.7574
Pt 0.0000 0.0000 0.0000
Ca 5.5300 5.5300 5.5300
CELL_PARAMETERS angstrom
0.0000 3.6867 3.6867
3.6867 0.0000 3.6867
3.6867 3.6867 0.0000
```

***

Entry 20:
The following is a DFT calculation (PBE) of CaSiPt2 after structural relaxation. Values from VASP.

The structure in Quantum ESPRESSO input format:
```
&SYSTEM
  ibrav = 0, nat = 4, ntyp = 3
/
ATOMIC_SPECIES
Pt 195.08 Pt.upf
Ca 40.08 Ca.upf
Si 28.09 Si.upf
ATOMIC_POSITIONS angstrom
Pt -1.5681 -1.0397 -3.1541
Pt -2.5995 0.0951 -0.7165
Ca -4.4198 -2.3437 -2.0496
Si -1.4147 -1.9275 -0.9752
CELL_PARAMETERS angstrom
-3.4080 1.9731 1.0439
-1.3466 -0.2992 -3.8304
-2.1518 -4.2939 1.0912
```

***

Entry 21:
! PBE Ca3Si2Pt4, optimized geometry; values from VASP
&SYSTEM
  ibrav = 0, nat = 9, ntyp = 3
/
ATOMIC_SPECIES
Pt 195.08 Pt.upf
Ca 40.08 Ca.upf
Si 28.09 Si.upf
ATOMIC_POSITIONS angstrom
Pt 0.0000 1.1680 5.2110
Pt 0.0000 3.1536 7.1067
Pt 2.0723 4.2652 2.0593
Pt 2.0723 2.2795 0.1636
Ca 2.0723 1.2865 2.9813
Ca 0.0000 4.1466 4.2890
Ca 0.0000 0.0000 0.0000
Si 2.0723 2.1409 6.2897
Si 0.0000 3.2923 0.9806
CELL_PARAMETERS angstrom
4.1446 0.0000 0.0000
-2.0723 5.1769 -1.3483
0.0000 0.2563 8.6186
! E above lowest polymorph	22.3	meV per atom

***

Entry 22:
The following is a DFT calculation (PBE) of CaSi2Pt2 after structural relaxation. Values from VASP.

The structure in Quantum ESPRESSO input format:
```
&SYSTEM
  ibrav = 0, nat = 10, ntyp = 3
/
ATOMIC_SPECIES
Si 28.09 Si.upf
Ca 40.08 Ca.upf
Pt 195.08 Pt.upf
ATOMIC_POSITIONS angstrom
Si 1.0583 2.7152 0.0000
Si 6.4886 4.8318 0.0000
Si 2.7152 6.4886 0.0000
Si 4.8318 1.0583 0.0000
Ca 3.7735 3.7735 0.0000
Ca 0.0000 0.0000 0.0000
Pt 4.8516 6.4689 1.4841
Pt 6.4689 2.6954 1.4841
Pt 2.6954 1.0781 1.4841
Pt 1.0781 4.8516 1.4841
CELL_PARAMETERS angstrom
7.5470 0.0000 0.0000
0.0000 7.5470 0.0000
0.0000 0.0000 2.9682
```

***

Entry 23:
The following is a DFT calculation (PBE) of CaSiPt2 after structural relaxation. Values from VASP.

The structure in Quantum ESPRESSO input format:
```
&SYSTEM
  ibrav = 0, nat = 4, ntyp = 3
/
ATOMIC_SPECIES
Ca 40.08 Ca.upf
Pt 195.08 Pt.upf
Si 28.09 Si.upf
ATOMIC_POSITIONS angstrom
Ca 1.5993 2.1459 1.3416
Pt 2.6878 -0.4943 1.3618
Pt 7.8785 4.7751 0.0000
Si 4.2539 2.5783 0.0000
CELL_PARAMETERS angstrom
5.4627 0.0110 0.0202
2.5372 4.8377 -0.0202
-3.5802 -3.1168 2.7035
```

***

Entry 24:
The following is a DFT calculation (PBE) of Ca2SiPt after structural relaxation. Values from VASP.

The structure in Quantum ESPRESSO input format:
```
&SYSTEM
  ibrav = 0, nat = 8, ntyp = 3
/
ATOMIC_SPECIES
Ca 40.08 Ca.upf
Si 28.09 Si.upf
Pt 195.08 Pt.upf
ATOMIC_POSITIONS angstrom
Ca 3.2239 -0.2419 3.5648
Ca 1.0746 2.5758 4.5774
Ca 1.0746 4.1110 0.3708
Ca 3.2239 -1.7771 7.7714
Si 3.2239 0.8809 6.3675
Si 1.0746 1.4529 1.7747
Pt 1.0746 -0.1020 6.0225
Pt 3.2239 2.4359 2.1197
CELL_PARAMETERS angstrom
4.2985 0.0000 0.0000
0.0000 5.5369 -0.3386
0.0000 -3.2030 8.4808
```

***

no.,DOS at the Fermi energy (states/eV/cell),final energy (eV/cell),magnetic moment (Bohr magnetons per cell)
1,0.1,-17.5,0.00
2,3.6,-59.1,0.00
3,3.1,-49.2,0.00
4,2.8,-16.7,0.00
5,5.4,-32.6,0.00
6,10.9,-97.8,0.00
7,4.0,-59.4,0.00
8,3.5,-27.8,0.00
9,3.5,-23.6,0.00
10,2.1,-17.4,0.00
11,3.6,-45.3,0.00
12,4.9,-111.4,0.00
13,2.1,-18.1,0.00
14,2.2,-21.6,0.00
15,4.9,-66.8,0.00
16,4.3,-53.2,0.00
17,14.5,-164.0,0.00
18,2.0,-17.6,0.00
19,2.6,-29.2,0.00
20,1.4,-22.6,0.00
21,3.1,-49.4,0.00
22,4.3,-54.6,0.00
23,1.6,-21.8,0.00
24,2.6,-37.3,0.00